[1]
DFT (PBE) results for a geometry-optimized CaMn2W structure.

Properties
Formation energy: 0.6750 eV per atom
Relative energy among the computed polymorphs: 0.286 eV per atom
Density of states at the Fermi level: 0.904 states/eV/atom

Lattice parameters (Å, degrees): 4.591 4.591 4.591 60.00 60.00 60.00
Fractional positions:
Mn  0.750  0.750  0.750
Mn  0.250  0.250  0.250
W  0.500  0.500  0.500
Ca  0.000  0.000  0.000

---

[2]
DFT (PBE) results for a geometry-optimized TcAg4Se structure.

Properties
Raw formation energy: 0.637 eV/atom
Density of states at the Fermi level: 0.871 states/eV/atom

Lattice parameters (Å, degrees): 5.473 5.473 5.473 60.00 60.00 60.00
Fractional positions:
Ag  0.124  0.625  0.625
Ag  0.625  0.124  0.625
Ag  0.625  0.625  0.625
Ag  0.625  0.625  0.124
Tc  0.000  0.000  0.000
Se  0.250  0.250  0.250

---

[3]
DFT (PBE) results for a geometry-optimized YCrCu structure.

Properties
Formation energy: 0.3847 eV per atom
Relative energy among the computed polymorphs: 0.161 eV per atom
Density of states at the Fermi level: 0.794 states/eV/atom

Lattice parameters (Å, degrees): 4.521 4.521 4.521 60.00 60.00 60.00
Fractional positions:
Y  0.000  0.000  0.000
Cu  0.750  0.750  0.750
Cr  0.500  0.500  0.500

---

[4]
DFT (PBE) results for a geometry-optimized PrPu3Sb4 structure.

Properties
Raw formation energy: -0.726 eV/atom
Density of states at the Fermi level: 5.308 states/eV/atom

Lattice parameters (Å, degrees): 7.721 7.717 8.944 90.00 90.00 109.64
Fractional positions:
Sb  0.496  0.748  0.621
Sb  0.500  0.742  0.128
Sb  0.500  0.258  0.872
Sb  0.504  0.252  0.379
Sb  0.004  0.252  0.621
Sb  0.000  0.258  0.128
Sb  0.996  0.748  0.379
Sb  0.000  0.742  0.872
Pr  0.750  0.000  0.875
Pr  0.250  0.000  0.125
Pu  0.250  0.000  0.625
Pu  0.750  0.500  0.624
Pu  0.750  0.000  0.375
Pu  0.750  0.500  0.125
Pu  0.250  0.500  0.875
Pu  0.250  0.500  0.376

---

[5]
DFT (PBE) results for a geometry-optimized Sr4LaCd5 structure.

Properties
Formation energy: -0.3314 eV per atom
Density of states at the Fermi level: 0.849 states/eV/atom

Lattice parameters (Å, degrees): 4.025 4.025 20.234 90.00 90.00 90.00
Fractional positions:
Sr  0.000  0.000  0.196
Sr  0.000  0.000  0.602
Sr  0.000  0.000  0.398
Sr  0.000  0.000  0.804
Cd  0.500  0.500  0.298
Cd  0.500  0.500  0.500
Cd  0.500  0.500  0.702
Cd  0.500  0.500  0.908
Cd  0.500  0.500  0.092
La  0.000  0.000  0.000

---

[6]
DFT (PBE) results for a geometry-optimized Sr2Ge2Sb structure.

Properties
Raw formation energy: -0.504 eV/atom
Relative energy among the computed polymorphs: 0.099 eV per atom
Density of states at the Fermi level: 0.839 states/eV/atom

Lattice parameters (Å, degrees): 3.926 3.926 9.940 78.61 78.61 90.00
Fractional positions:
Ge  0.750  0.250  0.500
Ge  0.250  0.750  0.500
Sb  0.000  0.000  0.000
Sr  0.392  0.392  0.215
Sr  0.608  0.608  0.785

---

[7]
DFT (PBE) results for a geometry-optimized MgBRuWSe structure.

Properties
Raw formation energy: -0.221 eV/atom
Relative energy among the computed polymorphs: 0.000 eV per atom
Density of states at the Fermi level: 0.380 states/eV/atom

Lattice parameters (Å, degrees): 3.054 3.011 16.907 90.00 90.00 90.00
Fractional positions:
B  0.500  0.500  0.218
B  0.500  0.000  0.718
W  0.000  0.500  0.316
W  0.000  0.000  0.816
Se  0.500  0.500  0.902
Se  0.500  0.000  0.402
Mg  0.500  0.000  0.567
Mg  0.500  0.500  0.067
Ru  0.000  0.500  0.675
Ru  0.000  0.000  0.175

---

[8]
DFT (PBE) results for a geometry-optimized LaV2Tc structure.

Properties
Formation energy: 0.4189 eV per atom
Relative energy among the computed polymorphs: 0.000 eV per atom
Density of states at the Fermi level: 1.745 states/eV/atom

Lattice parameters (Å, degrees): 4.576 4.576 4.576 60.00 60.00 60.00
Fractional positions:
V  0.750  0.750  0.750
V  0.250  0.250  0.250
La  0.500  0.500  0.500
Tc  0.000  0.000  0.000